[1]
Below is ScTc2Hg after structural relaxation, with properties calculated at the PBE level.

Output
The crystal system is monoclinic. The uncorrected energy comes out at -6.58 eV per atom. Its density is 10.649 Mg/m³. For the density of states at the Fermi level, the calculation gives 4.053 states/eV/f.u.

The structure in POSCAR format:
```
ScTc2Hg
1.0
2.804 -4.707 0.000
2.804 4.707 0.000
-1.194 0.000 2.609
Sc Tc Hg
1 2 1
Direct
0.000 0.000 0.000 Sc
0.000 0.500 0.500 Tc
0.500 0.000 0.500 Tc
0.500 0.500 0.000 Hg
```

***

[2]
Below is YPaReOs after structural relaxation, with properties calculated at the PBE level.

Output
The crystal system is cubic. The uncorrected energy comes out at -9.96 eV per atom. Its density is 14.142 Mg/m³. For the density of states at the Fermi level, the calculation gives 3.361 states/eV/f.u.

The structure in POSCAR format:
```
YPaReOs
1.0
0.000 3.445 3.445
3.445 0.000 3.445
3.445 3.445 0.000
Y Pa Re Os
1 1 1 1
Direct
0.000 0.000 0.000 Y
0.500 0.500 0.500 Pa
0.250 0.250 0.250 Re
0.750 0.750 0.750 Os
```

***

[3]
Below is Eu2MgGe after structural relaxation, with properties calculated at the PBE level.

Output
The crystal system is trigonal. The uncorrected energy comes out at -6.71 eV per atom. Its density is 5.024 Mg/m³. For the density of states at the Fermi level, the calculation gives 2.535 states/eV/f.u.

The structure in POSCAR format:
```
Eu2MgGe
1.0
1.843 1.064 11.263
-1.843 1.064 11.263
0.000 -2.128 11.263
Eu Mg Ge
2 1 1
Direct
0.102 0.102 0.102 Eu
0.898 0.898 0.898 Eu
0.000 0.000 0.000 Mg
0.500 0.500 0.500 Ge
```

***

[4]
Below is Rb2InHgF after structural relaxation, with properties calculated at the PBE level.

Output
The crystal system is tetragonal. The uncorrected energy comes out at -1.87 eV per atom. Its density is 3.106 Mg/m³. For the density of states at the Fermi level, the calculation gives 3.506 states/eV/f.u.

The structure in POSCAR format:
```
Rb2InHgF
1.0
7.018 0.000 0.000
0.000 7.018 0.000
0.000 0.000 5.484
Rb In Hg F
2 1 1 1
Direct
0.000 0.500 0.000 Rb
0.500 0.000 0.000 Rb
0.000 0.000 0.000 In
0.000 0.000 0.500 Hg
0.500 0.500 0.500 F
```

***

[5]
Below is SrReRh2 after structural relaxation, with properties calculated at the PBE level.

Output
The crystal system is trigonal. The uncorrected energy comes out at -6.55 eV per atom. Its energy above the most stable polymorph in this dataset is 498.9 meV per atom. Its density is 11.387 Mg/m³. For the density of states at the Fermi level, the calculation gives 5.566 states/eV/f.u.

The structure in POSCAR format:
```
SrReRh2
1.0
1.438 0.830 9.763
-1.438 0.830 9.763
0.000 -1.661 9.763
Sr Re Rh
1 1 2
Direct
0.000 0.000 0.000 Sr
0.766 0.766 0.766 Re
0.246 0.246 0.246 Rh
0.502 0.502 0.502 Rh
```

***

[6]
Below is TcMo2PtN after structural relaxation, with properties calculated at the PBE level.

Output
The crystal system is tetragonal. The uncorrected energy comes out at -9.50 eV per atom. Its density is 12.151 Mg/m³. For the density of states at the Fermi level, the calculation gives 3.878 states/eV/f.u.

The structure in POSCAR format:
```
TcMo2PtN
1.0
4.098 0.000 0.000
0.000 4.098 0.000
0.000 0.000 4.060
Tc Mo Pt N
1 2 1 1
Direct
0.000 0.000 0.000 Tc
0.000 0.500 0.500 Mo
0.500 0.000 0.500 Mo
0.500 0.500 0.000 Pt
0.000 0.000 0.500 N
```